[1]
! PBE Al2CuSiNi, optimized geometry; values from VASP
! Calculated volume ... 86.8 Å³/cell
! Formation energy from raw total energies ... 0.58 eV/atom
&SYSTEM
  ibrav = 0, nat = 5, ntyp = 4
/
ATOMIC_SPECIES
Ni 58.69 Ni.upf
Si 28.09 Si.upf
Al 26.98 Al.upf
Cu 63.55 Cu.upf
ATOMIC_POSITIONS angstrom
Ni 0.000 2.222 0.000
Si 2.209 2.222 2.209
Al 0.000 0.000 2.209
Al 2.209 0.000 0.000
Cu 0.000 0.000 0.000
CELL_PARAMETERS angstrom
4.419 0.000 0.000
0.000 4.445 0.000
0.000 0.000 4.419



[2]
! PBE Sm2AlCu2Ni5, optimized geometry; values from VASP
! Energy of formation from the pure elements ... -0.2627 eV/atom
! Calculated volume ... 302.3 Å³/cell
&SYSTEM
  ibrav = 0, nat = 20, ntyp = 4
/
ATOMIC_SPECIES
Sm 150.36 Sm.upf
Al 26.98 Al.upf
Cu 63.55 Cu.upf
Ni 58.69 Ni.upf
ATOMIC_POSITIONS angstrom
Sm -4.933 -1.885 3.626
Sm -6.580 4.312 1.665
Sm -2.880 1.438 0.938
Sm -8.633 0.989 4.353
Al 0.000 0.000 0.000
Al -5.757 1.214 2.645
Cu -4.252 3.821 0.595
Cu -7.261 -1.394 4.696
Cu -8.638 3.357 3.256
Cu -2.875 -0.929 2.035
Ni -2.313 -1.209 -0.393
Ni -10.839 2.271 2.743
Ni -5.758 4.688 -1.213
Ni -7.401 -0.815 2.260
Ni -7.395 -3.627 3.563
Ni -5.752 1.877 0.090
Ni -8.074 1.688 1.473
Ni -5.079 -0.626 0.878
Ni -3.692 -3.003 1.209
Ni -3.704 2.850 -1.504
CELL_PARAMETERS angstrom
-1.639 -1.366 -2.940
-5.744 -4.639 5.358
-5.769 7.066 -0.067



[3]
! PBE SmAlCuNi, optimized geometry; values from VASP
! Energy of formation from the pure elements ... -0.4360 eV/atom
! Calculated volume ... 72.5 Å³/cell
&SYSTEM
  ibrav = 0, nat = 4, ntyp = 4
/
ATOMIC_SPECIES
Sm 150.36 Sm.upf
Al 26.98 Al.upf
Cu 63.55 Cu.upf
Ni 58.69 Ni.upf
ATOMIC_POSITIONS angstrom
Sm 2.115 -0.344 2.312
Al 0.000 -1.567 4.527
Cu 2.115 2.102 0.481
Ni 0.000 0.882 4.189
CELL_PARAMETERS angstrom
4.231 0.000 0.000
-2.115 3.674 0.000
0.000 -2.443 4.664



[4]
! PBE SmAl3CuNi, optimized geometry; values from VASP
! Energy of formation from the pure elements ... -0.3204 eV/atom
! Calculated volume ... 211.9 Å³/cell
&SYSTEM
  ibrav = 0, nat = 12, ntyp = 4
/
ATOMIC_SPECIES
Sm 150.36 Sm.upf
Al 26.98 Al.upf
Cu 63.55 Cu.upf
Ni 58.69 Ni.upf
ATOMIC_POSITIONS angstrom
Sm 4.323 0.000 3.334
Sm 1.441 3.045 2.701
Al 1.441 0.000 1.710
Al 0.000 1.749 0.000
Al 2.882 4.342 0.000
Al 2.882 1.749 0.000
Al 0.000 4.342 0.000
Al 4.323 3.045 4.326
Cu 1.441 0.000 4.274
Cu 4.323 3.045 1.761
Ni 1.441 3.045 5.280
Ni 4.323 0.000 0.756
CELL_PARAMETERS angstrom
5.765 0.000 0.000
0.000 6.091 0.000
0.000 -3.045 6.035



[5]
! PBE Sm2AlCu3Ni12, optimized geometry; values from VASP
! Energy of formation from the pure elements ... 0.1640 eV/atom
! Calculated volume ... 264.0 Å³/cell
&SYSTEM
  ibrav = 0, nat = 18, ntyp = 4
/
ATOMIC_SPECIES
Sm 150.36 Sm.upf
Al 26.98 Al.upf
Cu 63.55 Cu.upf
Ni 58.69 Ni.upf
ATOMIC_POSITIONS angstrom
Sm 7.457 -14.738 3.126
Sm 3.999 -7.903 1.677
Al 0.000 0.000 0.000
Cu 0.589 -4.596 0.071
Cu 3.256 -3.294 -0.153
Cu 1.883 -3.430 2.484
Ni 6.289 -12.202 3.958
Ni 8.484 -17.104 1.596
Ni 9.981 -15.755 4.388
Ni 5.280 -13.112 2.076
Ni 6.895 -17.261 4.647
Ni 7.360 -12.097 1.902
Ni 5.167 -10.439 0.845
Ni 2.972 -5.537 3.207
Ni 1.475 -6.886 0.414
Ni 6.176 -9.529 2.727
Ni 4.561 -5.380 0.156
Ni 4.096 -10.545 2.901
CELL_PARAMETERS angstrom
1.179 -9.192 0.142
6.512 -6.589 -0.306
3.765 -6.860 4.967



[6]
! PBE SrAl6CuNi, optimized geometry; values from VASP
! Energy of formation from the pure elements ... -0.0864 eV/atom
! Calculated volume ... 345.2 Å³/cell
&SYSTEM
  ibrav = 0, nat = 18, ntyp = 4
/
ATOMIC_SPECIES
Sr 87.62 Sr.upf
Al 26.98 Al.upf
Cu 63.55 Cu.upf
Ni 58.69 Ni.upf
ATOMIC_POSITIONS angstrom
Sr 3.317 2.211 2.256
Sr 0.000 2.211 3.627
Al 3.317 6.634 1.020
Al 0.000 2.211 0.256
Al 5.290 -0.259 1.402
Al 1.345 4.682 1.402
Al 1.345 -0.259 1.402
Al 5.290 4.682 1.402
Al 0.000 -2.211 4.862
Al 3.317 2.211 5.626
Al -1.972 4.682 4.481
Al 1.972 -0.259 4.481
Al 1.972 4.682 4.481
Al -1.972 -0.259 4.481
Cu 1.659 -2.211 2.941
Cu -1.659 -2.211 2.941
Ni 3.317 4.423 0.000
Ni 3.317 0.000 0.000
CELL_PARAMETERS angstrom
6.635 0.000 0.000
0.000 8.846 0.000
-3.317 -4.423 5.882



[7]
! PBE Sr2Al12CuNi3, optimized geometry; values from VASP
! Energy of formation from the pure elements ... 0.0054 eV/atom
! Calculated volume ... 412.8 Å³/cell
&SYSTEM
  ibrav = 0, nat = 18, ntyp = 4
/
ATOMIC_SPECIES
Sr 87.62 Sr.upf
Al 26.98 Al.upf
Cu 63.55 Cu.upf
Ni 58.69 Ni.upf
ATOMIC_POSITIONS angstrom
Sr -9.146 0.500 -6.490
Sr -5.919 0.323 -4.200
Al -8.274 -2.599 -4.230
Al -9.952 3.084 -8.427
Al -9.836 -1.629 -8.953
Al -8.413 3.063 -3.598
Al -12.274 0.298 -5.369
Al -5.484 0.748 -7.904
Al -6.791 3.423 -6.460
Al -5.114 -2.260 -2.263
Al -5.229 2.453 -1.737
Al -6.652 -2.240 -7.092
Al -2.792 0.525 -5.321
Al -9.581 0.076 -2.786
Cu 0.000 0.000 0.000
Ni -3.300 2.189 -0.512
Ni -1.040 0.402 -3.834
Ni -3.193 -2.180 -0.999
CELL_PARAMETERS angstrom
-6.600 4.378 -1.023
-2.080 0.805 -7.668
-6.385 -4.359 -1.999



[8]
! PBE TbAl4Cu2Ni, optimized geometry; values from VASP
! Energy of formation from the pure elements ... -0.3983 eV/atom
! Calculated volume ... 128.5 Å³/cell
&SYSTEM
  ibrav = 0, nat = 8, ntyp = 4
/
ATOMIC_SPECIES
Tb 158.93 Tb.upf
Al 26.98 Al.upf
Cu 63.55 Cu.upf
Ni 58.69 Ni.upf
ATOMIC_POSITIONS angstrom
Tb 0.000 0.000 0.000
Al 4.151 2.396 6.739
Al 6.226 3.595 3.454
Al 2.075 1.198 5.160
Al 4.151 2.396 1.876
Cu 6.226 3.595 6.132
Cu 2.075 1.198 2.482
Ni 4.151 2.396 4.307
CELL_PARAMETERS angstrom
4.151 0.000 0.000
2.075 3.595 0.000
2.075 1.198 8.614



[9]
! PBE Tb2Al4Cu3Ni, optimized geometry; values from VASP
! Energy of formation from the pure elements ... -0.4502 eV/atom
! Calculated volume ... 172.8 Å³/cell
&SYSTEM
  ibrav = 0, nat = 10, ntyp = 4
/
ATOMIC_SPECIES
Tb 158.93 Tb.upf
Al 26.98 Al.upf
Cu 63.55 Cu.upf
Ni 58.69 Ni.upf
ATOMIC_POSITIONS angstrom
Tb 2.064 0.000 2.608
Tb 0.000 2.064 7.528
Al 2.064 2.064 0.000
Al 0.000 0.000 0.000
Al 2.064 0.000 6.311
Al 0.000 2.064 3.826
Cu 0.000 0.000 5.068
Cu 2.064 0.000 8.742
Cu 0.000 2.064 1.395
Ni 2.064 2.064 5.068
CELL_PARAMETERS angstrom
4.129 0.000 0.000
0.000 4.129 0.000
0.000 0.000 10.137



[10]
! PBE TbAlCuNi, optimized geometry; values from VASP
! Energy of formation from the pure elements ... -0.4596 eV/atom
! Calculated volume ... 69.8 Å³/cell
&SYSTEM
  ibrav = 0, nat = 4, ntyp = 4
/
ATOMIC_SPECIES
Tb 158.93 Tb.upf
Al 26.98 Al.upf
Cu 63.55 Cu.upf
Ni 58.69 Ni.upf
ATOMIC_POSITIONS angstrom
Tb 0.232 1.731 2.522
Al 0.411 -0.684 0.364
Cu 3.168 1.491 1.993
Ni 0.000 -1.270 2.725
CELL_PARAMETERS angstrom
-2.377 0.418 3.464
2.729 -3.217 -0.312
2.187 4.541 0.952



[11]
! PBE Tb2AlCu12Ni3, optimized geometry; values from VASP
! Energy of formation from the pure elements ... -0.0121 eV/atom
! Calculated volume ... 253.1 Å³/cell
&SYSTEM
  ibrav = 0, nat = 18, ntyp = 4
/
ATOMIC_SPECIES
Tb 158.93 Tb.upf
Al 26.98 Al.upf
Cu 63.55 Cu.upf
Ni 58.69 Ni.upf
ATOMIC_POSITIONS angstrom
Tb -2.027 -3.826 8.079
Tb -0.696 -1.315 2.776
Al 0.000 0.000 0.000
Cu 0.422 -2.671 6.752
Cu -4.131 -3.511 6.041
Cu 0.007 -5.064 6.344
Cu -2.925 -1.415 6.507
Cu -0.986 -1.071 7.986
Cu -2.122 -4.645 5.179
Cu -3.145 -2.469 4.104
Cu 1.408 -1.629 4.814
Cu -2.730 -0.076 4.512
Cu 0.202 -3.726 4.348
Cu -1.737 -4.069 2.870
Cu -0.601 -0.495 5.677
Ni -2.082 0.904 2.234
Ni -1.137 -2.899 0.671
Ni 1.858 -0.575 2.522
CELL_PARAMETERS angstrom
-4.165 1.807 4.469
-2.274 -5.797 1.342
3.716 -1.150 5.045



[12]
! PBE AlCuNi2Te, optimized geometry; values from VASP
! Calculated volume ... 87.5 Å³/cell
! Formation energy from raw total energies ... 0.53 eV/atom
&SYSTEM
  ibrav = 0, nat = 5, ntyp = 4
/
ATOMIC_SPECIES
Ni 58.69 Ni.upf
Te 127.60 Te.upf
Al 26.98 Al.upf
Cu 63.55 Cu.upf
ATOMIC_POSITIONS angstrom
Ni 0.000 0.000 2.237
Ni 2.237 0.000 0.000
Te 2.237 2.186 2.237
Al 0.000 2.186 0.000
Cu 0.000 0.000 0.000
CELL_PARAMETERS angstrom
4.475 0.000 0.000
0.000 4.371 0.000
0.000 0.000 4.475



[13]
! PBE Th2AlCu3Ni12, optimized geometry; values from VASP
! Energy of formation from the pure elements ... 0.2901 eV/atom
! Calculated volume ... 285.6 Å³/cell
&SYSTEM
  ibrav = 0, nat = 18, ntyp = 4
/
ATOMIC_SPECIES
Th 232.04 Th.upf
Al 26.98 Al.upf
Cu 63.55 Cu.upf
Ni 58.69 Ni.upf
ATOMIC_POSITIONS angstrom
Th 9.196 5.353 3.797
Th 5.613 3.267 2.317
Al 0.000 0.000 0.000
Cu 3.705 0.023 0.016
Cu 1.850 3.210 0.016
Cu 1.850 1.077 3.024
Ni 7.452 4.338 5.285
Ni 11.047 6.430 2.389
Ni 9.264 7.442 5.279
Ni 9.265 3.308 2.347
Ni 11.047 4.380 5.279
Ni 7.452 6.422 2.347
Ni 7.357 4.282 0.829
Ni 3.762 2.190 3.725
Ni 5.545 1.178 0.835
Ni 5.544 5.312 3.767
Ni 3.762 4.240 0.835
Ni 7.357 2.198 3.767
CELL_PARAMETERS angstrom
7.410 0.046 0.033
3.700 6.420 0.033
3.700 2.153 6.048



[14]
! PBE Th2AlCu12Ni3, optimized geometry; values from VASP
! Energy of formation from the pure elements ... -0.0095 eV/atom
! Calculated volume ... 260.5 Å³/cell
&SYSTEM
  ibrav = 0, nat = 18, ntyp = 4
/
ATOMIC_SPECIES
Th 232.04 Th.upf
Al 26.98 Al.upf
Cu 63.55 Cu.upf
Ni 58.69 Ni.upf
ATOMIC_POSITIONS angstrom
Th 7.674 4.467 3.168
Th 2.576 1.500 1.064
Al 0.000 0.000 0.000
Cu 5.209 3.032 4.280
Cu 7.150 4.162 0.203
Cu 4.894 5.443 3.861
Cu 6.956 2.040 1.447
Cu 7.150 1.568 3.861
Cu 5.209 5.041 1.447
Cu 5.041 2.934 -0.048
Cu 3.101 1.805 4.029
Cu 5.357 0.523 0.371
Cu 3.294 3.927 2.785
Cu 3.101 4.399 0.371
Cu 5.041 0.925 2.785
Ni 3.128 -0.628 -0.446
Ni 0.999 3.030 -0.446
Ni 0.999 0.581 3.007
CELL_PARAMETERS angstrom
6.256 -1.256 -0.891
1.997 6.060 -0.891
1.997 1.163 6.014



[15]
! PBE ThAl2CuNi4, optimized geometry; values from VASP
! Energy of formation from the pure elements ... -0.4636 eV/atom
! Calculated volume ... 117.5 Å³/cell
&SYSTEM
  ibrav = 0, nat = 8, ntyp = 4
/
ATOMIC_SPECIES
Th 232.04 Th.upf
Al 26.98 Al.upf
Cu 63.55 Cu.upf
Ni 58.69 Ni.upf
ATOMIC_POSITIONS angstrom
Th 0.000 0.000 0.000
Al 6.058 3.498 5.768
Al 2.019 1.166 2.552
Cu 4.039 2.332 4.160
Ni 4.039 2.332 6.558
Ni 6.058 3.498 3.237
Ni 2.019 1.166 5.084
Ni 4.039 2.332 1.762
CELL_PARAMETERS angstrom
4.039 0.000 0.000
2.019 3.498 0.000
2.019 1.166 8.320



[16]
! PBE ThAlCuNi, optimized geometry; values from VASP
! Energy of formation from the pure elements ... -0.4406 eV/atom
! Calculated volume ... 73.4 Å³/cell
&SYSTEM
  ibrav = 0, nat = 4, ntyp = 4
/
ATOMIC_SPECIES
Th 232.04 Th.upf
Al 26.98 Al.upf
Cu 63.55 Cu.upf
Ni 58.69 Ni.upf
ATOMIC_POSITIONS angstrom
Th 2.135 -0.346 2.290
Al 0.000 0.882 0.053
Cu 0.000 0.887 4.065
Ni 2.135 2.113 0.419
CELL_PARAMETERS angstrom
4.270 0.000 0.000
-2.135 3.696 0.000
0.000 -2.458 4.653



[17]
! PBE Th2Al4CuNi3, optimized geometry; values from VASP
! Energy of formation from the pure elements ... -0.5405 eV/atom
! Calculated volume ... 174.8 Å³/cell
&SYSTEM
  ibrav = 0, nat = 10, ntyp = 4
/
ATOMIC_SPECIES
Th 232.04 Th.upf
Al 26.98 Al.upf
Cu 63.55 Cu.upf
Ni 58.69 Ni.upf
ATOMIC_POSITIONS angstrom
Th -1.700 1.805 2.148
Th 1.382 5.657 5.003
Al -0.743 -1.305 2.563
Al 0.000 0.000 0.000
Al -1.542 5.062 3.852
Al 1.224 2.400 3.299
Cu -0.530 3.078 4.857
Ni 0.213 4.384 2.294
Ni -1.439 7.186 4.964
Ni 1.121 0.276 2.187
CELL_PARAMETERS angstrom
-3.616 -0.851 1.961
2.130 -1.760 3.164
0.426 8.767 4.588



[18]
! PBE TmAl4Cu2Ni, optimized geometry; values from VASP
! Energy of formation from the pure elements ... -0.3772 eV/atom
! Calculated volume ... 126.3 Å³/cell
&SYSTEM
  ibrav = 0, nat = 8, ntyp = 4
/
ATOMIC_SPECIES
Tm 168.93 Tm.upf
Al 26.98 Al.upf
Cu 63.55 Cu.upf
Ni 58.69 Ni.upf
ATOMIC_POSITIONS angstrom
Tm 0.000 0.000 0.000
Al -4.471 0.674 6.863
Al -6.847 1.581 3.693
Al -2.198 0.186 5.188
Al -4.574 1.092 2.017
Cu -6.790 1.350 6.369
Cu -2.255 0.416 2.511
Ni -4.523 0.883 4.440
CELL_PARAMETERS angstrom
-2.914 2.928 0.314
-4.006 -1.055 -0.006
-2.126 -0.106 8.572



[19]
! PBE TmAl3CuNi, optimized geometry; values from VASP
! Energy of formation from the pure elements ... -0.3205 eV/atom
! Calculated volume ... 203.8 Å³/cell
&SYSTEM
  ibrav = 0, nat = 12, ntyp = 4
/
ATOMIC_SPECIES
Tm 168.93 Tm.upf
Al 26.98 Al.upf
Cu 63.55 Cu.upf
Ni 58.69 Ni.upf
ATOMIC_POSITIONS angstrom
Tm -1.388 -2.877 4.335
Tm -0.600 -4.188 0.437
Al -0.149 -1.333 1.741
Al -0.559 -1.286 -1.032
Al -3.544 -3.632 -0.830
Al -2.719 -1.733 0.694
Al -1.384 -3.185 -2.557
Al -1.839 -5.733 3.031
Cu 1.242 -2.990 3.052
Cu -3.230 -4.076 1.720
Ni 0.795 -5.849 1.751
Ni -2.783 -1.216 3.021
CELL_PARAMETERS angstrom
-4.321 -0.895 3.453
-1.942 -4.470 -3.589
4.275 -1.700 4.908



[20]
! PBE Tm2AlCu12Ni3, optimized geometry; values from VASP
! Energy of formation from the pure elements ... -0.0304 eV/atom
! Calculated volume ... 249.5 Å³/cell
&SYSTEM
  ibrav = 0, nat = 18, ntyp = 4
/
ATOMIC_SPECIES
Tm 168.93 Tm.upf
Al 26.98 Al.upf
Cu 63.55 Cu.upf
Ni 58.69 Ni.upf
ATOMIC_POSITIONS angstrom
Tm -4.884 -2.355 -7.311
Tm -1.692 -0.816 -2.533
Al 0.000 0.000 0.000
Cu -5.218 -2.558 -4.333
Cu -2.311 -1.064 -7.674
Cu -4.046 -4.406 -5.439
Cu -3.786 0.202 -6.178
Cu -6.004 -0.490 -5.392
Cu -2.169 -3.032 -6.217
Cu -1.358 -0.613 -5.512
Cu -4.265 -2.107 -2.171
Cu -2.531 1.235 -4.406
Cu -2.790 -3.373 -3.667
Cu -0.572 -2.681 -4.453
Cu -4.407 -0.139 -3.628
Ni -1.168 1.792 -2.340
Ni 0.710 -1.964 -2.385
Ni -2.831 -1.413 -0.197
CELL_PARAMETERS angstrom
-2.335 3.583 -4.681
1.421 -3.927 -4.770
-5.662 -2.827 -0.394